[1]
# Sc4OsRu | the Alexandria database | GGA-PBE | relaxed
data_Sc4OsRu
_symmetry_space_group_name_H-M 'P 4/m m m'
_symmetry_Int_Tables_number 123
_symmetry_space_group_name_Hall '-P 4 2'
_cell_length_a 4.4882
_cell_length_b 4.4882
_cell_length_c 6.3455
_cell_angle_alpha 90.00
_cell_angle_beta 90.00
_cell_angle_gamma 90.00
loop_
_atom_site_label
_atom_site_type_symbol
_atom_site_fract_x
_atom_site_fract_y
_atom_site_fract_z
_atom_site_occupancy
Sc1 Sc 0.0000 0.5000 0.2496 1
Os1 Os 0.0000 0.0000 0.0000 1
Ru1 Ru 0.5000 0.5000 0.5000 1
# ΔE to the lowest computed polymorph: 147 meV per atom
# E_form: -289 meV/atom

---

[2]
# Sc4Os2Ru | the Alexandria database | GGA-PBE | relaxed
data_Sc4Os2Ru
_symmetry_space_group_name_H-M 'I 4/m m m'
_symmetry_Int_Tables_number 139
_symmetry_space_group_name_Hall '-I 4 2'
_cell_length_a 6.4167
_cell_length_b 6.4167
_cell_length_c 6.3821
_cell_angle_alpha 90.00
_cell_angle_beta 90.00
_cell_angle_gamma 90.00
loop_
_atom_site_label
_atom_site_type_symbol
_atom_site_fract_x
_atom_site_fract_y
_atom_site_fract_z
_atom_site_occupancy
Sc1 Sc 0.2500 0.2500 0.2500 1
Os1 Os 0.0000 0.5000 0.0000 1
Ru1 Ru 0.0000 0.0000 0.0000 1
# E_form: -349 meV/atom

---

[3]
# Sc6OsRu | the Alexandria database | GGA-PBE | relaxed
data_Sc6OsRu
_symmetry_space_group_name_H-M 'I 4/m m m'
_symmetry_Int_Tables_number 139
_symmetry_space_group_name_Hall '-I 4 2'
_cell_length_a 4.5892
_cell_length_b 4.5892
_cell_length_c 15.9601
_cell_angle_alpha 90.00
_cell_angle_beta 90.00
_cell_angle_gamma 90.00
loop_
_atom_site_label
_atom_site_type_symbol
_atom_site_fract_x
_atom_site_fract_y
_atom_site_fract_z
_atom_site_occupancy
Sc1 Sc 0.0000 0.0000 0.2490 1
Sc2 Sc 0.0000 0.5000 0.0961 1
Os1 Os 0.0000 0.0000 0.0000 1
Ru1 Ru 0.0000 0.0000 0.5000 1
# E_form: -277 meV/atom

---

[4]
# ScOs2Ru | the Alexandria database | GGA-PBE | relaxed
data_ScOs2Ru
_symmetry_space_group_name_H-M 'I m m m'
_symmetry_Int_Tables_number 71
_symmetry_space_group_name_Hall '-I 2 2'
_cell_length_a 2.8394
_cell_length_b 4.3924
_cell_length_c 10.1224
_cell_angle_alpha 90.00
_cell_angle_beta 90.00
_cell_angle_gamma 90.00
loop_
_atom_site_label
_atom_site_type_symbol
_atom_site_fract_x
_atom_site_fract_y
_atom_site_fract_z
_atom_site_occupancy
Sc1 Sc 0.0000 0.0000 0.0000 1
Os1 Os 0.0000 0.5000 0.2194 1
Ru1 Ru 0.0000 0.0000 0.5000 1
# ΔE to the lowest computed polymorph: 113 meV per atom
# E_form: 24 meV/atom

---

[5]
# ScOs2Ru | the Alexandria database | GGA-PBE | relaxed
data_ScOs2Ru
_symmetry_space_group_name_H-M 'R 3 m'
_symmetry_Int_Tables_number 160
_symmetry_space_group_name_Hall 'R 3 -2"'
_cell_length_a 2.8107
_cell_length_b 2.8107
_cell_length_c 27.1167
_cell_angle_alpha 90.00
_cell_angle_beta 90.00
_cell_angle_gamma 120.00
loop_
_atom_site_label
_atom_site_type_symbol
_atom_site_fract_x
_atom_site_fract_y
_atom_site_fract_z
_atom_site_occupancy
Sc1 Sc 0.0000 0.0000 0.0000 1
Os1 Os 0.0000 0.0000 0.5009 1
Os2 Os 0.0000 0.0000 0.7552 1
Ru1 Ru 0.0000 0.0000 0.2484 1
# ΔE to the lowest computed polymorph: 292 meV per atom
# E_form: 202 meV/atom

---

[6]
# ScOs2Ru | the Alexandria database | GGA-PBE | relaxed
data_ScOs2Ru
_symmetry_space_group_name_H-M 'C m m m'
_symmetry_Int_Tables_number 65
_symmetry_space_group_name_Hall '-C 2 2'
_cell_length_a 5.5285
_cell_length_b 7.8929
_cell_length_c 2.7911
_cell_angle_alpha 90.00
_cell_angle_beta 90.00
_cell_angle_gamma 90.00
loop_
_atom_site_label
_atom_site_type_symbol
_atom_site_fract_x
_atom_site_fract_y
_atom_site_fract_z
_atom_site_occupancy
Sc1 Sc 0.0000 0.0000 0.0000 1
Os1 Os 0.2500 0.2500 0.5000 1
Ru1 Ru 0.0000 0.5000 0.0000 1
# ΔE to the lowest computed polymorph: 111 meV per atom
# E_form: 22 meV/atom

---

[7]
# ScOs2Ru | the Alexandria database | GGA-PBE | relaxed
data_ScOs2Ru
_symmetry_space_group_name_H-M 'P m m m'
_symmetry_Int_Tables_number 47
_cell_length_a 2.9815
_cell_length_b 4.4731
_cell_length_c 4.5893
_cell_angle_alpha 90.00
_cell_angle_beta 90.00
_cell_angle_gamma 90.00
loop_
_symmetry_equiv_pos_as_xyz
'x,y,z'
'-x,-y,-z'
'-x,-y,z'
'x,y,-z'
'x,-y,-z'
'-x,y,z'
'-x,y,-z'
'x,-y,z'
loop_
_atom_site_label
_atom_site_type_symbol
_atom_site_fract_x
_atom_site_fract_y
_atom_site_fract_z
_atom_site_occupancy
Sc1 Sc 0.0000 0.0000 0.0000 1
Os1 Os 0.0000 0.5000 0.5000 1
Os2 Os 0.5000 0.0000 0.5000 1
Ru1 Ru 0.5000 0.5000 0.0000 1
# ΔE to the lowest computed polymorph: 118 meV per atom
# E_form: 29 meV/atom

---

[8]
# Sc4OsRu | the Alexandria database | GGA-PBE | relaxed
data_Sc4OsRu
_symmetry_space_group_name_H-M 'F -4 3 m'
_symmetry_Int_Tables_number 216
_symmetry_space_group_name_Hall 'F -4 2 3'
_cell_length_a 7.5995
_cell_length_b 7.5995
_cell_length_c 7.5995
_cell_angle_alpha 90.00
_cell_angle_beta 90.00
_cell_angle_gamma 90.00
loop_
_atom_site_label
_atom_site_type_symbol
_atom_site_fract_x
_atom_site_fract_y
_atom_site_fract_z
_atom_site_occupancy
Sc1 Sc 0.1248 0.1248 0.1248 1
Os1 Os 0.2500 0.2500 0.7500 1
Ru1 Ru 0.0000 0.0000 0.5000 1
# ΔE to the lowest computed polymorph: 981 meV per atom
# E_form: 545 meV/atom

---

[9]
# Sc3OsRu2 | the Alexandria database | GGA-PBE | relaxed
data_Sc3OsRu2
_symmetry_space_group_name_H-M 'C m m m'
_symmetry_Int_Tables_number 65
_symmetry_space_group_name_Hall '-C 2 2'
_cell_length_a 4.5411
_cell_length_b 13.6178
_cell_length_c 3.2233
_cell_angle_alpha 90.00
_cell_angle_beta 90.00
_cell_angle_gamma 90.00
loop_
_atom_site_label
_atom_site_type_symbol
_atom_site_fract_x
_atom_site_fract_y
_atom_site_fract_z
_atom_site_occupancy
Sc1 Sc 0.0000 0.0000 0.0000 1
Sc2 Sc 0.0000 0.3333 0.0000 1
Os1 Os 0.0000 0.5000 0.5000 1
Ru1 Ru 0.0000 0.1666 0.5000 1
# ΔE to the lowest computed polymorph: 5 meV per atom
# E_form: -461 meV/atom

---

[10]
# ScOs2Ru | the Alexandria database | GGA-PBE | relaxed
data_ScOs2Ru
_symmetry_space_group_name_H-M 'P 4/m m m'
_symmetry_Int_Tables_number 123
_symmetry_space_group_name_Hall '-P 4 2'
_cell_length_a 4.5054
_cell_length_b 4.5054
_cell_length_c 3.0260
_cell_angle_alpha 90.00
_cell_angle_beta 90.00
_cell_angle_gamma 90.00
loop_
_atom_site_label
_atom_site_type_symbol
_atom_site_fract_x
_atom_site_fract_y
_atom_site_fract_z
_atom_site_occupancy
Sc1 Sc 0.0000 0.0000 0.0000 1
Os1 Os 0.0000 0.5000 0.5000 1
Ru1 Ru 0.5000 0.5000 0.0000 1
# ΔE to the lowest computed polymorph: 207 meV per atom
# E_form: 117 meV/atom

---

[11]
# ScOs2Ru | the Alexandria database | GGA-PBE | relaxed
data_ScOs2Ru
_symmetry_space_group_name_H-M 'P m m 2'
_symmetry_Int_Tables_number 25
_cell_length_a 2.7998
_cell_length_b 3.8683
_cell_length_c 5.7430
_cell_angle_alpha 90.00
_cell_angle_beta 90.00
_cell_angle_gamma 90.00
loop_
_symmetry_equiv_pos_as_xyz
'x,y,z'
'-x,-y,z'
'-x,y,z'
'x,-y,z'
loop_
_atom_site_label
_atom_site_type_symbol
_atom_site_fract_x
_atom_site_fract_y
_atom_site_fract_z
_atom_site_occupancy
Sc1 Sc 0.0000 0.0000 0.0000 1
Os1 Os 0.0000 0.0000 0.4981 1
Os2 Os 0.5000 0.5000 0.2853 1
Ru1 Ru 0.5000 0.5000 0.7403 1
# ΔE to the lowest computed polymorph: 123 meV per atom
# E_form: 33 meV/atom

---

[12]
# ScOsRu3 | the Alexandria database | GGA-PBE | relaxed
data_ScOsRu3
_symmetry_space_group_name_H-M 'P m -3 m'
_symmetry_Int_Tables_number 221
_symmetry_space_group_name_Hall '-P 4 2 3'
_cell_length_a 4.4601
_cell_length_b 4.4601
_cell_length_c 4.4601
_cell_angle_alpha 90.00
_cell_angle_beta 90.00
_cell_angle_gamma 90.00
loop_
_atom_site_label
_atom_site_type_symbol
_atom_site_fract_x
_atom_site_fract_y
_atom_site_fract_z
_atom_site_occupancy
Sc1 Sc 0.0000 0.0000 0.0000 1
Os1 Os 0.5000 0.5000 0.5000 1
Ru1 Ru 0.0000 0.0000 0.5000 1
# ΔE to the lowest computed polymorph: 878 meV per atom
# E_form: 1962 meV/atom

---

[13]
# ScOsRu3 | the Alexandria database | GGA-PBE | relaxed
data_ScOsRu3
_symmetry_space_group_name_H-M 'P m -3 m'
_symmetry_Int_Tables_number 221
_symmetry_space_group_name_Hall '-P 4 2 3'
_cell_length_a 4.6690
_cell_length_b 4.6690
_cell_length_c 4.6690
_cell_angle_alpha 90.00
_cell_angle_beta 90.00
_cell_angle_gamma 90.00
loop_
_atom_site_label
_atom_site_type_symbol
_atom_site_fract_x
_atom_site_fract_y
_atom_site_fract_z
_atom_site_occupancy
Sc1 Sc 0.0000 0.0000 0.0000 1
Os1 Os 0.5000 0.5000 0.5000 1
Ru1 Ru 0.0000 0.5000 0.5000 1
# ΔE to the lowest computed polymorph: 0 meV per atom
# E_form: 1084 meV/atom

---

Number 1: total energy -7.93 eV per atom. Number 2: total energy -8.50 eV per atom. Number 3: total energy -7.59 eV per atom. Number 4: total energy -9.49 eV per atom. Number 5: total energy -9.31 eV per atom. Number 6: total energy -9.50 eV per atom. Number 7: total energy -9.49 eV per atom. Number 8: total energy -7.09 eV per atom. Number 9: total energy -8.59 eV per atom. Number 10: total energy -9.40 eV per atom. Number 11: total energy -9.48 eV per atom. Number 12: total energy -7.12 eV per atom. Number 13: total energy -7.99 eV per atom.